Record 1
The following is a DFT calculation (PBE) of Y3Ho5 after structural relaxation.

a = 3.6250 Å, b = 5.6108 Å, c = 12.5509 Å
α = 90.00°, β = 90.00°, γ = 90.00°
Closest atoms and distances in Å follow each position.
Fractional coordinates of all 8 atoms:
Y 0.5000 0.0000 0.7084  8 Y 3.51-3.62, 4 Ho 3.64-3.65
Y 0.5000 0.5000 0.5397  6 Ho 3.50-3.62, 6 Y 3.51-3.66
Y 0.0000 0.5000 0.7933  4 Ho 3.50-3.62, 8 Y 3.51-3.66
Ho 0.0000 0.0000 0.9607  8 Ho 3.49-3.62, 4 Y 3.50-3.65
Ho 0.5000 0.0000 0.2090  12 Ho 3.49-3.62
Ho 0.0000 0.0000 0.4564  6 Ho 3.50-3.62, 6 Y 3.50-3.64
Ho 0.5000 0.5000 0.0426  10 Ho 3.49-3.62, 2 Y 3.62
Ho 0.0000 0.5000 0.2898  10 Ho 3.49-3.62, 2 Y 3.62

Summary:
Its formation energy is 0.0 eV per formula unit.


Record 2
The following is a DFT calculation (PBE) of CeCdPdPt after structural relaxation.

a = 4.8687 Å, b = 4.8687 Å, c = 4.8687 Å
α = 60.00°, β = 60.00°, γ = 60.00°
Closest atoms and distances in Å follow each position.
Fractional coordinates of all 4 atoms:
Pd 0.0000 0.0000 0.0000  4 Cd 2.98, 4 Ce 2.98
Ce 0.2500 0.2500 0.2500  4 Pd 2.98, 4 Pt 2.98
Pt 0.5000 0.5000 0.5000  4 Cd 2.98, 4 Ce 2.98
Cd 0.7500 0.7500 0.7500  4 Pt 2.98, 4 Pd 2.98

Summary:
Its formation energy is -2.8 eV per formula unit.


Record 3
The following is a DFT calculation (PBE) of DyErPtAu after structural relaxation.

a = 4.9915 Å, b = 4.9915 Å, c = 4.9915 Å
α = 60.00°, β = 60.00°, γ = 60.00°
Closest atoms and distances in Å follow each position.
Fractional coordinates of all 4 atoms:
Dy 0.0000 0.0000 0.0000  4 Au 3.06, 4 Pt 3.06
Au 0.2500 0.2500 0.2500  4 Er 3.06, 4 Dy 3.06
Pt 0.7500 0.7500 0.7500  4 Dy 3.06, 4 Er 3.06
Er 0.5000 0.5000 0.5000  4 Pt 3.06, 4 Au 3.06

Summary:
Its formation energy is -4.2 eV per formula unit.


Record 4
The following is a DFT calculation (PBE) of Cs2SrPa2S7 after structural relaxation.

a = 5.2829 Å, b = 5.2829 Å, c = 14.4197 Å
α = 79.48°, β = 79.48°, γ = 89.99°
Closest atoms and distances in Å follow each position.
Fractional coordinates of all 12 atoms:
Cs 0.8140 0.8140 0.3727  9 S 3.63-3.94
Cs 0.1860 0.1860 0.6273  9 S 3.63-3.94
Sr 0.0000 0.0000 0.0000  12 S 3.48-3.74
Pa 0.5936 0.5936 0.8125  6 S 2.50-2.66
Pa 0.4064 0.4064 0.1875  6 S 2.50-2.66
S 0.5000 0.5000 0.0000  2 Pa 2.61
S 0.3167 0.3167 0.3669  1 Pa 2.50
S 0.6833 0.6833 0.6331  1 Pa 2.50
S 0.9187 0.4188 0.1627  2 Pa 2.66
S 0.4188 0.9187 0.1627  2 Pa 2.66
S 0.5812 0.0813 0.8373  2 Pa 2.66
S 0.0813 0.5812 0.8373  2 Pa 2.66

Summary:
As for the uncorrected formation energy: -1.627 eV/atom.


Record 5
The following is a DFT calculation (PBE) of LaAg2Os after structural relaxation.

a = 6.0359 Å, b = 6.0359 Å, c = 4.7373 Å
α = 66.93°, β = 66.93°, γ = 31.76°
Closest atoms and distances in Å follow each position.
Fractional coordinates of all 4 atoms:
Os 0.2500 0.2500 0.2500  4 Ag 2.87, 4 La 2.89
Ag 0.9709 0.9709 0.0291  2 Os 2.87, 4 Ag 2.95
Ag 0.5291 0.5291 0.4709  2 Os 2.87, 4 Ag 2.95
La 0.7500 0.7500 0.7500  4 Os 2.89

Summary:
Its formation energy is 0.9 eV per formula unit.


Record 6
The following is a DFT calculation (PBE) of Tm3TlFe after structural relaxation.

a = 5.0866 Å, b = 5.0866 Å, c = 5.0866 Å
α = 90.00°, β = 90.00°, γ = 90.00°
Closest atoms and distances in Å follow each position.
Fractional coordinates of all 5 atoms:
Tl 0.5000 0.5000 0.5000  12 Tm 3.60
Tm 0.0000 0.5000 0.0000  2 Fe 2.54
Tm 0.0000 0.0000 0.5000  2 Fe 2.54
Tm 0.5000 0.0000 0.0000  2 Fe 2.54
Fe 0.0000 0.0000 0.0000  6 Tm 2.54

Summary:
Its formation energy is 0.0 eV per formula unit.


Record 7
The following is a DFT calculation (PBE) of TiCoAs2 after structural relaxation.

a = 4.3693 Å, b = 4.3693 Å, c = 4.3693 Å
α = 60.00°, β = 60.00°, γ = 60.00°
Closest atoms and distances in Å follow each position.
Fractional coordinates of all 4 atoms:
As 0.2500 0.2500 0.2500  4 Co 2.68, 4 Ti 2.68
As 0.7500 0.7500 0.7500  4 Ti 2.68, 4 Co 2.68
Co 0.5000 0.5000 0.5000  8 As 2.68
Ti 0.0000 0.0000 0.0000  8 As 2.68

Summary:
Its formation energy is -0.8 eV per formula unit.


Record 8
The following is a DFT calculation (PBE) of Pm2Mg3Pb2 after structural relaxation.

a = 4.6219 Å, b = 6.1754 Å, c = 7.4829 Å
α = 97.40°, β = 90.00°, γ = 111.98°
Closest atoms and distances in Å follow each position.
Fractional coordinates of all 7 atoms:
Pm 0.6139 0.2278 0.3390  5 Pb 3.20-3.43, 2 Mg 3.54
Pm 0.3861 0.7722 0.6610  5 Pb 3.20-3.43, 2 Mg 3.54
Mg 0.3046 0.6092 0.1158  2 Pb 2.98, 2 Mg 3.05
Mg 0.0000 0.0000 0.0000  2 Pb 3.02
Mg 0.6954 0.3908 0.8842  2 Pb 2.98, 2 Mg 3.05
Pb 0.1061 0.2123 0.6528  3 Mg 2.98-3.02, 1 Pb 3.10, 3 Pm 3.20-3.30
Pb 0.8939 0.7877 0.3472  3 Mg 2.98-3.02, 1 Pb 3.10, 3 Pm 3.20-3.30

Summary:
Its formation energy is -1.9 eV per formula unit.


Record 9
The following is a DFT calculation (PBE) of BiRuS2Br after structural relaxation.

a = 5.0371 Å, b = 4.6318 Å, c = 5.0371 Å
α = 90.00°, β = 90.00°, γ = 90.00°
Closest atoms and distances in Å follow each position.
Fractional coordinates of all 5 atoms:
Ru 0.0000 0.5000 0.0000  2 Br 2.32
S 0.0000 0.0000 0.5000  2 Br 2.52
S 0.5000 0.0000 0.0000  2 Br 2.52
Bi 0.5000 0.5000 0.5000  8 S 3.42, 4 Ru 3.56
Br 0.0000 0.0000 0.0000  2 Ru 2.32, 4 S 2.52

Summary:
As for the uncorrected formation energy: 1.197 eV/atom.


Record 10
The following is a DFT calculation (PBE) of LaTh2Au after structural relaxation.

a = 3.7317 Å, b = 3.7317 Å, c = 8.6088 Å
α = 90.00°, β = 90.00°, γ = 90.00°
Closest atoms and distances in Å follow each position.
Fractional coordinates of all 4 atoms:
Au 0.5000 0.5000 0.0000  8 Th 3.21
Th 0.0000 0.0000 0.7872  4 Au 3.21
Th 0.0000 0.0000 0.2128  4 Au 3.21
La 0.5000 0.5000 0.5000  8 Th 3.62, 4 La 3.73

Summary:
Its formation energy is -1.0 eV per formula unit.


Record 11
The following is a DFT calculation (PBE) of PrNd4Th3P8 after structural relaxation.

a = 8.3306 Å, b = 8.3203 Å, c = 8.3304 Å
α = 120.04°, β = 120.00°, γ = 90.00°
Closest atoms and distances in Å follow each position.
Fractional coordinates of all 16 atoms:
Pr 0.0000 0.5000 0.0000  6 P 2.95
Nd 0.5000 0.0000 0.0000  6 P 2.93-2.94
Nd 0.5000 0.0000 0.5000  6 P 2.96-2.97
Nd 0.0000 0.0000 0.0000  6 P 2.96-2.97
Nd 0.0000 0.0000 0.5000  6 P 2.96-2.97
Th 0.5000 0.5000 0.0000  6 P 2.92-2.93
Th 0.5000 0.5000 0.5000  6 P 2.92-2.93
Th 0.0000 0.5000 0.5000  6 P 2.92-2.93
P 0.2507 0.7469 0.9961  2 Th 2.92, 3 Nd 2.94-2.97, 1 Pr 2.95
P 0.2508 0.7469 0.5015  2 Th 2.92, 3 Nd 2.93-2.97, 1 Pr 2.95
P 0.2515 0.2544 0.5030  3 Th 2.93, 3 Nd 2.96
P 0.7454 0.7469 0.9961  2 Th 2.92, 3 Nd 2.94-2.97, 1 Pr 2.95
P 0.2546 0.2531 0.0039  2 Th 2.92, 3 Nd 2.94-2.97, 1 Pr 2.95
P 0.7485 0.7456 0.4970  3 Th 2.93, 3 Nd 2.96
P 0.7492 0.2531 0.4985  2 Th 2.92, 3 Nd 2.93-2.97, 1 Pr 2.95
P 0.7493 0.2531 0.0039  2 Th 2.92, 3 Nd 2.94-2.97, 1 Pr 2.95

Summary:
Its formation energy is -25.1 eV per formula unit.


Record 12
The following is a DFT calculation (PBE) of TaSbTe2I after structural relaxation.

a = 5.3374 Å, b = 5.3374 Å, c = 5.6138 Å
α = 90.00°, β = 90.00°, γ = 90.00°
Closest atoms and distances in Å follow each position.
Fractional coordinates of all 5 atoms:
I 0.5000 0.5000 0.5000  4 Sb 3.77, 8 Te 3.87
Sb 0.0000 0.0000 0.5000  2 Ta 2.81
Te 0.0000 0.5000 0.0000  2 Ta 2.67
Te 0.5000 0.0000 0.0000  2 Ta 2.67
Ta 0.0000 0.0000 0.0000  4 Te 2.67, 2 Sb 2.81

Summary:
As for the uncorrected formation energy: 0.181 eV/atom.


Record 13
The following is a DFT calculation (PBE) of Li3Pr2YS6 after structural relaxation.

a = 7.0026 Å, b = 7.0026 Å, c = 6.6223 Å
α = 99.94°, β = 99.94°, γ = 120.14°
Closest atoms and distances in Å follow each position.
Fractional coordinates of all 12 atoms:
Li 0.1556 0.8444 0.5000  6 S 2.67-2.96
Li 0.8444 0.1556 0.5000  6 S 2.67-2.96
Li 0.5000 0.5000 0.5000  6 S 2.76-2.83
Pr 0.3325 0.6675 0.0000  6 S 2.85
Pr 0.6675 0.3325 0.0000  6 S 2.85
Y 0.0000 0.0000 0.0000  6 S 2.76
S 0.9160 0.5938 0.7444  3 Li 2.73-2.96, 1 Y 2.76, 2 Pr 2.85
S 0.7597 0.7597 0.2539  3 Li 2.67-2.83, 1 Y 2.76, 2 Pr 2.85
S 0.0840 0.4062 0.2556  3 Li 2.73-2.96, 1 Y 2.76, 2 Pr 2.85
S 0.5938 0.9160 0.7444  3 Li 2.73-2.96, 1 Y 2.76, 2 Pr 2.85
S 0.2403 0.2403 0.7461  3 Li 2.67-2.83, 1 Y 2.76, 2 Pr 2.85
S 0.4062 0.0840 0.2556  3 Li 2.73-2.96, 1 Y 2.76, 2 Pr 2.85

Summary:
As for the uncorrected formation energy: -1.789 eV/atom.


Record 14
The following is a DFT calculation (PBE) of KZrAg2 after structural relaxation.

a = 3.0965 Å, b = 3.8689 Å, c = 8.7565 Å
α = 90.00°, β = 90.00°, γ = 90.00°
Closest atoms and distances in Å follow each position.
Fractional coordinates of all 4 atoms:
Ag 0.0000 0.0000 0.0167  6 Ag 2.87-3.10, 4 Zr 2.95
Ag 0.5000 0.5000 0.1820  6 Ag 2.87-3.10, 1 Zr 3.05
K 0.0000 0.0000 0.4673  2 K 3.10
Zr 0.5000 0.5000 0.8340  5 Ag 2.95-3.05, 2 Zr 3.10

Summary:
Its formation energy is 1.3 eV per formula unit.


Record 15
The following is a DFT calculation (PBE) of BePbBr2 after structural relaxation.

a = 5.0620 Å, b = 5.0620 Å, c = 4.1680 Å
α = 90.00°, β = 90.00°, γ = 93.49°
Closest atoms and distances in Å follow each position.
Fractional coordinates of all 4 atoms:
Pb 0.5000 0.0000 0.5000  8 Br 3.28, 2 Be 3.47
Be 0.0000 0.5000 0.5000  8 Br 3.28, 2 Pb 3.47
Br 0.0000 0.0000 0.0000  4 Pb 3.28, 4 Be 3.28, 2 Br 3.47
Br 0.5000 0.5000 0.0000  4 Be 3.28, 4 Pb 3.28, 2 Br 3.47

Summary:
As for the uncorrected formation energy: 0.276 eV/atom.


Record 16
The following is a DFT calculation (PBE) of MnCoRe2I after structural relaxation.

a = 4.5177 Å, b = 4.3966 Å, c = 4.5177 Å
α = 90.00°, β = 90.00°, γ = 90.00°
Closest atoms and distances in Å follow each position.
Fractional coordinates of all 5 atoms:
I 0.5000 0.5000 0.5000  8 Re 3.15, 4 Co 3.19
Re 0.0000 0.0000 0.5000  2 Mn 2.26
Re 0.5000 0.0000 0.0000  2 Mn 2.26
Mn 0.0000 0.0000 0.0000  2 Co 2.20, 4 Re 2.26
Co 0.0000 0.5000 0.0000  2 Mn 2.20

Summary:
As for the uncorrected formation energy: 1.716 eV/atom.


Record 17
The following is a DFT calculation (PBE) of KTe2SI after structural relaxation.

a = 5.4081 Å, b = 5.4081 Å, c = 5.8866 Å
α = 90.00°, β = 90.00°, γ = 90.00°
Closest atoms and distances in Å follow each position.
Fractional coordinates of all 5 atoms:
I 0.0000 0.0000 0.5000  2 S 2.94
K 0.5000 0.5000 0.5000  4 I 3.82, 8 Te 4.00
Te 0.0000 0.5000 0.0000  2 S 2.70
Te 0.5000 0.0000 0.0000  2 S 2.70
S 0.0000 0.0000 0.0000  4 Te 2.70, 2 I 2.94

Summary:
As for the uncorrected formation energy: -0.133 eV/atom.


Record 18
The following is a DFT calculation (PBE) of PuIF2 after structural relaxation.

a = 4.0060 Å, b = 6.2256 Å, c = 7.3366 Å
α = 90.00°, β = 90.00°, γ = 108.76°
Closest atoms and distances in Å follow each position.
Fractional coordinates of all 8 atoms:
Pu 0.7679 0.5358 0.7500  6 F 2.43-2.51
Pu 0.2321 0.4642 0.2500  6 F 2.43-2.51
I 0.9543 0.9085 0.2500  3 Pu 3.28-3.30, 6 F 3.31-3.57
I 0.0457 0.0915 0.7500  3 Pu 3.28-3.30, 6 F 3.31-3.57
F 0.3036 0.6073 0.5725  3 Pu 2.43-2.51, 3 F 2.60
F 0.6964 0.3927 0.4275  3 Pu 2.43-2.51, 3 F 2.60
F 0.3036 0.6073 0.9275  3 Pu 2.43-2.51, 3 F 2.60
F 0.6964 0.3927 0.0725  3 Pu 2.43-2.51, 3 F 2.60

Summary:
As for the uncorrected formation energy: -2.716 eV/atom.


Record 19
The following is a DFT calculation (PBE) of La2PdN after structural relaxation.

a = 3.5540 Å, b = 3.5540 Å, c = 8.6682 Å
α = 78.17°, β = 78.17°, γ = 60.00°
Closest atoms and distances in Å follow each position.
Fractional coordinates of all 4 atoms:
N 0.5000 0.5000 0.5000  6 La 2.53
Pd 0.0000 0.0000 0.0000  2 La 2.74
La 0.1083 0.1083 0.6751  3 N 2.53, 1 Pd 2.74
La 0.8917 0.8917 0.3249  3 N 2.53, 1 Pd 2.74

Summary:
As for the uncorrected formation energy: -0.656 eV/atom.


Record 20
The following is a DFT calculation (PBE) of DyLu2Bi after structural relaxation.

a = 4.8554 Å, b = 4.8001 Å, c = 4.8001 Å
α = 90.00°, β = 90.00°, γ = 90.00°
Closest atoms and distances in Å follow each position.
Fractional coordinates of all 4 atoms:
Lu 0.0000 0.0000 0.5000  4 Lu 3.39, 4 Dy 3.41, 4 Bi 3.41
Lu 0.0000 0.5000 0.0000  4 Lu 3.39, 4 Dy 3.41, 4 Bi 3.41
Bi 0.5000 0.5000 0.5000  4 Dy 3.39, 8 Lu 3.41
Dy 0.5000 0.0000 0.0000  4 Bi 3.39, 8 Lu 3.41

Summary:
Its formation energy is -1.1 eV per formula unit.


| no. | total magnetic moment (μB/atom) |
| --- | --- |
| 1 | 0.000 |
| 2 | 0.123 |
| 3 | 0.000 |
| 4 | 0.000 |
| 5 | 0.000 |
| 6 | 0.000 |
| 7 | 0.133 |
| 8 | 0.000 |
| 9 | 0.233 |
| 10 | 0.000 |
| 11 | 0.000 |
| 12 | 0.000 |
| 13 | 0.000 |
| 14 | 0.000 |
| 15 | 0.000 |
| 16 | 0.480 |
| 17 | 0.126 |
| 18 | 1.250 |
| 19 | 0.000 |
| 20 | 0.192 |